Record 1
LiCl2 | PBE-GGA | relaxed

```
LiCl2
1.0
0.000 3.149 3.149
3.149 0.000 3.149
3.149 3.149 0.000
Li Cl
1 2
Direct
0.000 0.000 0.000 Li
0.250 0.250 0.250 Cl
0.750 0.750 0.750 Cl
```

Results
Its energy above the lowest structure with this stoichiometry is 8.21 kcal/mol of atoms. Its total energy is -2.706 eV per atom.


Record 2
Hf3Sb2 | PBE-GGA | relaxed

```
Hf3Sb2
1.0
4.174 2.410 5.694
-4.174 2.410 5.694
0.000 -4.820 5.694
Hf Sb
9 6
Direct
0.000 0.000 0.000 Hf
0.171 0.171 0.171 Hf
0.194 0.427 0.660 Hf
0.340 0.806 0.573 Hf
0.427 0.660 0.194 Hf
0.573 0.340 0.806 Hf
0.660 0.194 0.427 Hf
0.806 0.573 0.340 Hf
0.829 0.829 0.829 Hf
0.004 0.810 0.419 Sb
0.190 0.581 0.996 Sb
0.419 0.004 0.810 Sb
0.581 0.996 0.190 Sb
0.810 0.419 0.004 Sb
0.996 0.190 0.581 Sb
```

Results
Its total energy is -8.030 eV per atom.


Record 3
YHBr2 | PBE-GGA | relaxed

```
YHBr2
1.0
1.924 1.111 7.533
-1.924 1.111 7.533
0.000 -2.222 7.533
Y H Br
1 1 2
Direct
0.000 0.000 0.000 Y
0.333 0.333 0.333 H
0.582 0.582 0.582 Br
0.752 0.752 0.752 Br
```

Results
Its total energy is -4.812 eV per atom.


Record 4
Sm2Sn6Rh | PBE-GGA | relaxed

```
Sm2Sn6Rh
1.0
3.757 -7.696 0.000
3.757 7.696 0.000
0.000 0.000 4.286
Sm Sn Rh
2 6 1
Direct
0.192 0.808 0.000 Sm
0.808 0.192 0.000 Sm
0.154 0.458 0.500 Sn
0.268 0.268 0.000 Sn
0.458 0.154 0.500 Sn
0.542 0.846 0.500 Sn
0.732 0.732 0.000 Sn
0.846 0.542 0.500 Sn
0.500 0.500 0.500 Rh
```

Results
The formation energy is -382.7 meV/atom. Its total energy is -4.917 eV per atom.


Record 5
Sn2Sb3Au | PBE-GGA | relaxed

```
Sn2Sb3Au
1.0
4.003 -6.959 0.000
4.003 6.959 0.000
-2.692 0.000 7.530
Sn Sb Au
4 6 2
Direct
0.081 0.919 0.500 Sn
0.236 0.732 0.999 Sn
0.732 0.236 0.499 Sn
0.919 0.081 0.000 Sn
0.126 0.613 0.612 Sb
0.307 0.453 0.130 Sb
0.453 0.307 0.630 Sb
0.613 0.126 0.112 Sb
0.757 0.922 0.614 Sb
0.922 0.757 0.114 Sb
0.393 0.560 0.485 Au
0.560 0.393 0.985 Au
```

Results
Its total energy is -3.951 eV per atom.


Record 6
LaIr | PBE-GGA | relaxed

```
LaIr
1.0
5.473 -2.032 0.000
5.473 2.032 0.000
-2.679 0.000 6.794
La Ir
3 3
Direct
0.000 0.000 0.000 La
0.641 0.641 0.696 La
0.834 0.834 0.354 La
0.133 0.133 0.400 Ir
0.278 0.278 0.018 Ir
0.371 0.371 0.703 Ir
```

Results
The formation energy is -560.9 meV/atom. Its total energy is -7.455 eV per atom.